The following is a DFT calculation (PBE with a Hubbard U) of La2CoF after structural relaxation.

Cell: 4.878 4.878 4.878 Å, 60.00 60.00 60.00°
Last column: magnetic moment on the atom in μB.
Atoms (fractional coordinates):
La 0.250 0.250 0.250  -0.32
La 0.750 0.750 0.750  -0.32
F 0.000 0.000 0.000  -0.03
Co 0.500 0.500 0.500  0.91

Results
**Energy relative to the lowest polymorph listed for this composition**: 0.388 eV per atom
**Volume**: 82.07 Å³/f.u.
**Symmetry**: Fm-3m (225)